[1]
Compound: YTiW2Au
Source: Alexandria via LeMat-Bulk
Functional: GGA-PBEsol
Structure: optimized geometry

a = 4.8514 Å, b = 4.8514 Å, c = 5.1301 Å
α = 90.00°, β = 90.00°, γ = 90.00°
With the nearest neighbours (Å) after each atom.
Element x y z (fractional)
1 Y 0.0000 0.0000 0.0000  2 Au 2.57
2 Ti 0.5000 0.5000 0.0000  4 Y 3.43, 8 W 3.53
3 W 0.0000 0.5000 0.5000  2 Au 2.43
4 W 0.5000 0.0000 0.5000  2 Au 2.43
5 Au 0.0000 0.0000 0.5000  4 W 2.43, 2 Y 2.57

Properties
As for the density of states at the Fermi level: 7.7 states/eV/f.u. The calculation puts the formation energy at 1.8706 eV per atom. Its space group is P4/mmm (123). As for the total magnetization: 1.649 μB per cell.

=====

[2]
Compound: Ti2Zn2Au
Source: Alexandria via LeMat-Bulk
Functional: GGA-PBEsol
Structure: optimized geometry

a = 6.5790 Å, b = 6.5790 Å, c = 3.5532 Å
α = 90.00°, β = 90.00°, γ = 90.00°
With the nearest neighbours (Å) after each atom.
Element x y z (fractional)
1 Ti 0.1672 0.3328 0.0000  6 Zn 2.59-2.66
2 Ti 0.3328 0.8328 0.0000  6 Zn 2.59-2.66
3 Ti 0.6672 0.1672 0.0000  6 Zn 2.59-2.66
4 Ti 0.8328 0.6672 0.0000  6 Zn 2.59-2.66
5 Zn 0.1306 0.6306 0.5000  1 Zn 2.43, 2 Au 2.58, 6 Ti 2.59-2.66
6 Zn 0.3694 0.1306 0.5000  1 Zn 2.43, 2 Au 2.58, 6 Ti 2.59-2.66
7 Zn 0.6306 0.8694 0.5000  1 Zn 2.43, 2 Au 2.58, 6 Ti 2.59-2.66
8 Zn 0.8694 0.3694 0.5000  1 Zn 2.43, 2 Au 2.58, 6 Ti 2.59-2.66
9 Au 0.0000 0.0000 0.5000  4 Zn 2.58
10 Au 0.5000 0.5000 0.5000  4 Zn 2.58

Properties
As for the density of states at the Fermi level: 3.8 states/eV/f.u. Its distance to the lowest polymorph of the same formula is 0 meV/atom. The calculation puts the formation energy at -0.2500 eV per atom. Its space group is P4/mbm (127). As for the total magnetization: 0.001 μB per cell.